# 1
The following is a PBEsol calculation of a relaxed TiFeP2O8 crystal, from Alexandria via LeMat-Bulk.

Cell and atoms, written as CIF:
```
data_TiFeP2O8
_cell_length_a 4.888
_cell_length_b 5.884
_cell_length_c 9.845
_cell_angle_alpha 90.00
_cell_angle_beta 89.93
_cell_angle_gamma 90.00
_symmetry_space_group_name_H-M 'P 1'
_symmetry_Int_Tables_number 1
_symmetry_space_group_name_Hall 'P 1'
loop_
_atom_site_label
_atom_site_type_symbol
_atom_site_fract_x
_atom_site_fract_y
_atom_site_fract_z
Ti1 Ti 0.534 0.750 0.227
Ti2 Ti 0.466 0.250 0.773
Fe1 Fe 0.034 0.250 0.271
Fe2 Fe 0.966 0.750 0.729
P1 P 0.570 0.250 0.097
P2 P 0.430 0.750 0.903
P3 P 0.107 0.750 0.403
P4 P 0.893 0.250 0.597
O1 O 0.351 0.750 0.055
O2 O 0.649 0.250 0.945
O3 O 0.262 0.250 0.112
O4 O 0.738 0.750 0.888
O5 O 0.803 0.750 0.366
O6 O 0.197 0.250 0.634
O7 O 0.852 0.250 0.446
O8 O 0.148 0.750 0.554
O9 O 0.709 0.043 0.171
O10 O 0.709 0.457 0.171
O11 O 0.291 0.543 0.829
O12 O 0.291 0.957 0.829
O13 O 0.260 0.950 0.328
O14 O 0.260 0.550 0.328
O15 O 0.740 0.050 0.672
O16 O 0.740 0.450 0.672
```

Results
E_form (uncorrected) (eV per atom): -2.211
Final energy (eV per cell): -194.792
Magnetic moment (μB per formula unit): 3.99

***

# 2
The following is a PBEsol calculation of a relaxed V5FeP6O24 crystal, from Alexandria via LeMat-Bulk.

Cell and atoms, written as CIF:
```
data_V5FeP6O24
_cell_length_a 8.244
_cell_length_b 8.244
_cell_length_c 8.244
_cell_angle_alpha 62.06
_cell_angle_beta 62.06
_cell_angle_gamma 62.06
_symmetry_space_group_name_H-M 'P 1'
_symmetry_Int_Tables_number 1
_symmetry_space_group_name_Hall 'P 1'
loop_
_atom_site_label
_atom_site_type_symbol
_atom_site_fract_x
_atom_site_fract_y
_atom_site_fract_z
P1 P 0.249 0.534 0.961
P2 P 0.961 0.249 0.534
P3 P 0.534 0.961 0.249
P4 P 0.458 0.043 0.753
P5 P 0.043 0.753 0.458
P6 P 0.753 0.458 0.043
Fe1 Fe 0.136 0.136 0.136
O1 O 0.116 0.326 0.495
O2 O 0.495 0.116 0.326
O3 O 0.326 0.495 0.116
O4 O 0.094 0.742 0.947
O5 O 0.181 0.378 0.995
O6 O 0.406 0.559 0.753
O7 O 0.947 0.094 0.742
O8 O 0.753 0.406 0.559
O9 O 0.618 0.003 0.822
O10 O 0.559 0.753 0.406
O11 O 0.253 0.057 0.909
O12 O 0.003 0.822 0.618
O13 O 0.995 0.181 0.378
O14 O 0.742 0.947 0.094
O15 O 0.441 0.248 0.595
O16 O 0.378 0.995 0.181
O17 O 0.248 0.595 0.441
O18 O 0.057 0.909 0.253
O19 O 0.595 0.441 0.248
O20 O 0.822 0.618 0.003
O21 O 0.909 0.253 0.057
O22 O 0.679 0.500 0.885
O23 O 0.500 0.885 0.679
O24 O 0.885 0.679 0.500
V1 V 0.002 0.002 0.002
V2 V 0.640 0.640 0.640
V3 V 0.501 0.501 0.501
V4 V 0.862 0.862 0.862
V5 V 0.360 0.360 0.360
```

Results
E_form (uncorrected) (eV per atom): -2.129
Final energy (eV per cell): -294.527
Magnetic moment (μB per formula unit): 9.00

***

# 3
The following is a PBEsol calculation of a relaxed VFeP4O14 crystal, from Alexandria via LeMat-Bulk.

Cell and atoms, written as CIF:
```
data_VFeP4O14
_cell_length_a 4.739
_cell_length_b 6.836
_cell_length_c 7.801
_cell_angle_alpha 89.46
_cell_angle_beta 90.26
_cell_angle_gamma 74.82
_symmetry_space_group_name_H-M 'P 1'
_symmetry_Int_Tables_number 1
_symmetry_space_group_name_Hall 'P 1'
loop_
_atom_site_label
_atom_site_type_symbol
_atom_site_fract_x
_atom_site_fract_y
_atom_site_fract_z
V1 V 0.216 0.270 0.506
Fe1 Fe 0.782 0.730 0.006
P1 P 0.393 0.500 0.182
P2 P 0.232 0.889 0.777
P3 P 0.753 0.105 0.261
P4 P 0.620 0.507 0.695
O1 O 0.004 0.184 0.332
O2 O 0.156 0.082 0.666
O3 O 0.146 0.552 0.053
O4 O 0.289 0.477 0.367
O5 O 0.440 0.351 0.678
O6 O 0.549 0.086 0.411
O7 O 0.571 0.273 0.131
O8 O 0.416 0.725 0.644
O9 O 0.421 0.902 0.933
O10 O 0.601 0.637 0.189
O11 O 0.715 0.514 0.880
O12 O 0.873 0.465 0.569
O13 O 0.874 0.917 0.159
O14 O 0.948 0.833 0.818
```

Results
E_form (uncorrected) (eV per atom): -2.020
Final energy (eV per cell): -155.655
Magnetic moment (μB per formula unit): 1.98

***

# 4
The following is a PBEsol calculation of a relaxed V2Fe3P6WO24 crystal, from Alexandria via LeMat-Bulk.

Cell and atoms, written as CIF:
```
data_V2Fe3P6WO24
_cell_length_a 8.280
_cell_length_b 8.280
_cell_length_c 8.280
_cell_angle_alpha 62.63
_cell_angle_beta 62.63
_cell_angle_gamma 62.63
_symmetry_space_group_name_H-M 'P 1'
_symmetry_Int_Tables_number 1
_symmetry_space_group_name_Hall 'P 1'
loop_
_atom_site_label
_atom_site_type_symbol
_atom_site_fract_x
_atom_site_fract_y
_atom_site_fract_z
V1 V 0.997 0.997 0.997
V2 V 0.501 0.501 0.501
Fe1 Fe 0.357 0.357 0.357
Fe2 Fe 0.137 0.137 0.137
Fe3 Fe 0.646 0.646 0.646
P1 P 0.754 0.049 0.450
P2 P 0.049 0.450 0.754
P3 P 0.450 0.754 0.049
P4 P 0.525 0.260 0.956
P5 P 0.956 0.525 0.260
P6 P 0.260 0.956 0.525
W1 W 0.864 0.864 0.864
O1 O 0.892 0.492 0.681
O2 O 0.492 0.681 0.892
O3 O 0.681 0.892 0.492
O4 O 0.910 0.062 0.249
O5 O 0.832 0.997 0.613
O6 O 0.602 0.249 0.447
O7 O 0.062 0.249 0.910
O8 O 0.249 0.447 0.602
O9 O 0.375 0.180 0.998
O10 O 0.447 0.602 0.249
O11 O 0.736 0.100 0.938
O12 O 0.998 0.375 0.180
O13 O 0.997 0.613 0.832
O14 O 0.249 0.910 0.062
O15 O 0.550 0.409 0.752
O16 O 0.613 0.832 0.997
O17 O 0.752 0.550 0.409
O18 O 0.938 0.736 0.100
O19 O 0.409 0.752 0.550
O20 O 0.180 0.998 0.375
O21 O 0.100 0.938 0.736
O22 O 0.328 0.109 0.502
O23 O 0.502 0.328 0.109
O24 O 0.109 0.502 0.328
```

Results
E_form (uncorrected) (eV per atom): -1.919
Final energy (eV per cell): -289.771
Magnetic moment (μB per formula unit): 14.01